Record 1
{
  "formula": "SbPd2Se",
  "functional": "PBE",
  "state": "relaxed",
  "formation_energy_uncorrected_mev_per_atom": -228,
  "m_tot_mub_per_cell": 0.0,
  "final_energy_ev_per_atom": -4.73,
  "mass_density_kg_m3": 7602,
  "crystal_system": "monoclinic",
  "lattice": [[4.0320, -1.9201, 0.0000], [4.0320, 1.9201, 0.0000], [-1.4043, 0.0000, 5.8343]],
  "species": ["Sb", "Pd", "Pd", "Se"],
  "frac_coords": [[0.0000, 0.0000, 0.0000], [0.0676, 0.0676, 0.4586], [0.6571, 0.6571, 0.8263], [0.7641, 0.7641, 0.4665]]
}


Record 2
{
  "formula": "SbPd5Se2",
  "functional": "PBE",
  "state": "relaxed",
  "formation_energy_uncorrected_mev_per_atom": -336,
  "m_tot_mub_per_cell": 0.0,
  "final_energy_ev_per_atom": -4.97,
  "mass_density_kg_m3": 8553,
  "crystal_system": "tetragonal",
  "lattice": [[-2.0696, 2.0696, 9.1987], [2.0696, -2.0696, 9.1987], [2.0696, 2.0696, -9.1987]],
  "species": ["Sb", "Pd", "Pd", "Pd", "Pd", "Pd", "Se", "Se"],
  "frac_coords": [[0.0000, 0.0000, 0.0000], [0.1059, 0.6059, 0.5000], [0.3941, 0.8941, 0.5000], [0.5000, 0.5000, 0.0000], [0.6059, 0.1059, 0.5000], [0.8941, 0.3941, 0.5000], [0.3171, 0.3171, 0.0000], [0.6829, 0.6829, 0.0000]]
}


Record 3
{
  "formula": "Sb2Pd4Se",
  "functional": "PBE",
  "state": "relaxed",
  "formation_energy_uncorrected_mev_per_atom": 96,
  "m_tot_mub_per_cell": 0.0,
  "final_energy_ev_per_atom": -4.55,
  "mass_density_kg_m3": 7882,
  "crystal_system": "tetragonal",
  "lattice": [[-2.4425, 2.4425, 6.6053], [2.4425, -2.4425, 6.6053], [2.4425, 2.4425, -6.6053]],
  "species": ["Sb", "Sb", "Pd", "Pd", "Pd", "Pd", "Se"],
  "frac_coords": [[0.1198, 0.1198, 0.0000], [0.8802, 0.8802, 0.0000], [0.0000, 0.5000, 0.5000], [0.3147, 0.3147, 0.0000], [0.5000, 0.0000, 0.5000], [0.6853, 0.6853, 0.0000], [0.5000, 0.5000, 0.0000]]
}


Record 4
{
  "formula": "SbPdSe2",
  "functional": "PBE",
  "state": "relaxed",
  "formation_energy_uncorrected_mev_per_atom": 55,
  "m_tot_mub_per_cell": 0.0,
  "final_energy_ev_per_atom": -4.02,
  "mass_density_kg_m3": 5657,
  "crystal_system": "trigonal",
  "lattice": [[2.0183, 1.1653, 8.0320], [-2.0183, 1.1653, 8.0320], [0.0000, -2.3305, 8.0320]],
  "species": ["Sb", "Pd", "Se", "Se"],
  "frac_coords": [[0.0000, 0.0000, 0.0000], [0.5000, 0.5000, 0.5000], [0.4010, 0.4010, 0.4010], [0.5990, 0.5990, 0.5990]]
}


- Number 1 is which compound?
  SbPd2Se